1.
# Ba2TaTc

A relaxed Ba2TaTc crystal (PBEsol, Alexandria via LeMat-Bulk).

Cell and atoms, written as POSCAR:
```
Ba2TaTc
1.0
3.018 0.000 0.000
0.000 5.568 0.000
0.000 0.000 5.945
Ba Ta Tc
2 1 1
direct
0.000 0.000 0.248 Ba
0.000 0.000 0.752 Ba
0.500 0.500 0.500 Ta
0.500 0.500 0.000 Tc
```

Computed properties:
The crystal system is orthorhombic. The value obtained for the energy relative to the lowest polymorph listed for this composition is 3.10 eV/f.u. As for the total energy: -5.673 eV per atom. Its space group is Pmmm. The calculation puts the formation energy from the elements at 5.42 eV/f.u.

***

2.
# BaTa3Tc

A relaxed BaTa3Tc crystal (PBEsol, Alexandria via LeMat-Bulk).

Cell and atoms, written as POSCAR:
```
BaTa3Tc
1.0
4.922 0.000 0.000
0.000 4.922 0.000
0.000 0.000 4.922
Ba Ta Tc
1 3 1
direct
0.000 0.000 0.000 Ba
0.000 0.000 0.500 Ta
0.000 0.500 0.000 Ta
0.500 0.000 0.000 Ta
0.500 0.500 0.500 Tc
```

Computed properties:
The crystal system is cubic. As for the total energy: -6.820 eV per atom. Its space group is Pm-3m. The calculation puts the formation energy from the elements at 16.97 eV/f.u.

***

3.
# Ba2TaTc

A relaxed Ba2TaTc crystal (PBEsol, Alexandria via LeMat-Bulk).

Cell and atoms, written as POSCAR:
```
Ba2TaTc
1.0
1.622 0.937 11.068
-1.622 0.937 11.068
0.000 -1.873 11.068
Ba Ta Tc
2 1 1
direct
0.244 0.244 0.244 Ba
0.756 0.756 0.756 Ba
0.000 0.000 0.000 Ta
0.500 0.500 0.500 Tc
```

Computed properties:
The crystal system is trigonal. The value obtained for the energy relative to the lowest polymorph listed for this composition is 3.67 eV/f.u. As for the total energy: -5.530 eV per atom. Its space group is R-3m. The calculation puts the formation energy from the elements at 5.99 eV/f.u.

***

> Among the records above, which one has the highest formation energy from the elements?

BaTa3Tc